MnAsPb2 (SCAN, PBEsol geometry); space group = Immm; DFT formation energy = -0.084 eV/atom
1.0
3.3987 0.0000 0.0000
0.0000 3.6383 0.0000
0.0000 0.0000 15.1846
Mn As Pb
2 2 4
Cartesian
0.0000 0.0000 0.0000
1.6993 1.8192 7.5923
0.0000 0.0000 7.5923
1.6993 1.8192 0.0000
0.0000 1.8192 5.0207
0.0000 1.8192 10.1639
1.6993 0.0000 2.5716
1.6993 0.0000 12.6130